Compound: LiCuSnSe3
Source: OQMD
Functional: PBE
Structure: optimized geometry

abc: 7.5366 3.8815 9.0399
angles: 90.00 99.35 90.00
Space group P2_1/m (No. 11)
Inequivalent atoms, fractional coordinates:
Li  0.2491  0.2500  0.1772
Cu  0.4424  0.2500  0.9197
Sn  0.1857  0.7500  0.6510
Se  0.0886  0.7500  0.3435
Se  0.2396  0.7500  0.9621
Se  0.4371  0.2500  0.6499

Its energy above the most stable polymorph in this dataset is 0 meV/atom. Its crystal system is monoclinic. The density is 5423 kg/m³.

Compound: LiCuSnSe3
Source: OQMD
Functional: PBE
Structure: optimized geometry

abc: 3.7733 12.5023 10.8647
angles: 90.00 90.00 90.00
Space group Cmcm (No. 63)
Inequivalent atoms, fractional coordinates:
Li  0.0000  0.2360  0.2500
Cu  0.0000  0.4657  0.7500
Sn  0.0000  0.0000  0.0000
Se  0.0000  0.0916  0.7500
Se  0.0000  0.3520  0.5682

Its energy above the most stable polymorph in this dataset is 52 meV/atom. Its crystal system is orthorhombic. The density is 5522 kg/m³.

Compound: LiCuSnTe2Se
Source: OQMD
Functional: PBE
Structure: optimized geometry

abc: 4.0743 12.7785 11.2835
angles: 90.00 90.00 90.00
Space group Cmcm (No. 63)
Inequivalent atoms, fractional coordinates:
Li  0.0000  0.2239  0.2500
Cu  0.0000  0.0212  0.7500
Sn  0.0000  0.5000  0.0000
Te  0.0000  0.1601  0.5764
Se  0.0000  0.4170  0.7500

As for the total energy: -3.547 eV per atom. Its crystal system is orthorhombic. The density is 5917 kg/m³.

Compound: LiCuSnTeSe2
Source: OQMD
Functional: PBE
Structure: optimized geometry

abc: 3.7488 13.0781 11.4427
angles: 90.00 90.00 90.00
Space group Cmcm (No. 63)
Inequivalent atoms, fractional coordinates:
Li  0.0000  0.2025  0.2500
Cu  0.0000  0.4590  0.7500
Sn  0.0000  0.0000  0.0000
Te  0.0000  0.1003  0.7500
Se  0.0000  0.3576  0.5740

As for the total energy: -3.682 eV per atom. Its crystal system is orthorhombic. The density is 5621 kg/m³.

Compound: LiTaCuTe2Se
Source: OQMD
Functional: PBE
Structure: optimized geometry

abc: 3.7232 14.1036 9.9130
angles: 90.00 90.00 90.00
Space group Cmcm (No. 63)
Inequivalent atoms, fractional coordinates:
Li  0.0000  0.2425  0.2500
Ta  0.0000  0.5000  0.0000
Cu  0.0000  0.0256  0.7500
Te  0.0000  0.1464  0.5561
Se  0.0000  0.4165  0.7500

As for the total energy: -4.931 eV per atom. The spin magnetization is 0.109 μB per atom. Its crystal system is orthorhombic. The density is 7472 kg/m³.

Compound: LiCuTcSe3
Source: OQMD
Functional: PBE
Structure: optimized geometry

abc: 7.1556 3.5938 8.9239
angles: 90.00 103.39 90.00
Space group P2_1/m (No. 11)
Inequivalent atoms, fractional coordinates:
Li  0.2209  0.2500  0.2028
Cu  0.4230  0.2500  0.8974
Tc  0.1827  0.7500  0.6805
Se  0.0774  0.7500  0.3770
Se  0.2236  0.7500  0.9697
Se  0.4141  0.2500  0.6346

The spin magnetization is 0.053 μB per atom. Its energy above the most stable polymorph in this dataset is 0 meV/atom. Its crystal system is monoclinic. The density is 6030 kg/m³.

Compound: LiCuTcSe3
Source: OQMD
Functional: PBE
Structure: optimized geometry

abc: 3.4279 12.7778 9.6183
angles: 90.00 90.00 90.00
Space group Cmcm (No. 63)
Inequivalent atoms, fractional coordinates:
Li  0.0000  0.2269  0.2500
Cu  0.0000  0.4598  0.7500
Tc  0.0000  0.0000  0.0000
Se  0.0000  0.0934  0.7500
Se  0.0000  0.3556  0.5473

The spin magnetization is 0.106 μB per atom. Its energy above the most stable polymorph in this dataset is 56 meV/atom. Its crystal system is orthorhombic. The density is 6391 kg/m³.

Compound: LiCuTcSe3
Source: OQMD
Functional: PBE
Structure: optimized geometry

abc: 9.6390 3.6088 12.6393
angles: 90.00 90.00 90.00
Space group Pnma (No. 62)
Inequivalent atoms, fractional coordinates:
Li  0.2368  0.2500  0.0274
Cu  0.2427  0.7500  0.2170
Tc  0.0067  0.7500  0.7472
Se  0.0391  0.7500  0.1110
Se  0.0569  0.2500  0.6069
Se  0.2429  0.2500  0.3429

The spin magnetization is 0.331 μB per atom. Its energy above the most stable polymorph in this dataset is 44 meV/atom. Its crystal system is orthorhombic. The density is 6124 kg/m³.